[1]
Material: ZrTaS2N
Method: DFT, PBE
State: relaxed

a = 4.835 Å, b = 4.835 Å, c = 3.881 Å
α = 90.00°, β = 90.00°, γ = 90.00°
Positions (direct):
S 0.000 0.500 0.000
S 0.500 0.000 0.000
N 0.000 0.000 0.500
Zr 0.500 0.500 0.500
Ta 0.000 0.000 0.000

Formation energy from raw total energies, eV per atom: -0.3894
Space-group type: P4/mmm (123)
Uncorrected energy, eV per cell: -38.93
Excess energy over the best structure of this formula in the dataset, meV/atom: 0

---

[2]
Material: ZrTaS2N
Method: DFT, PBE
State: relaxed

a = 4.998 Å, b = 4.998 Å, c = 3.964 Å
α = 90.00°, β = 90.00°, γ = 90.00°
Positions (direct):
S 0.000 0.500 0.000
S 0.500 0.000 0.000
N 0.000 0.000 0.500
Zr 0.000 0.000 0.000
Ta 0.500 0.500 0.500

Formation energy from raw total energies, eV per atom: 0.3576
Space-group type: P4/mmm (123)
Uncorrected energy, eV per cell: -35.19
Excess energy over the best structure of this formula in the dataset, meV/atom: 747